one.
First-principles (GGA-PBE) data for crystalline ThNbGa at its relaxed geometry, as listed in Alexandria.

Cell lengths 4.603, 4.603, 3.833 Å; angles 90.00, 90.00, 120.00 degrees
Fractional positions:
Th: 0.000 0.000 0.000
Nb: 0.667 0.333 0.500
Ga: 0.333 0.667 0.500

## Properties
Its crystal system is hexagonal. The spin magnetization comes out at 0.0 Bohr magnetons per cell.

two.
First-principles (GGA-PBE) data for crystalline ThNbGa at its relaxed geometry, as listed in Alexandria.

Cell lengths 4.089, 4.089, 8.235 Å; angles 90.00, 90.00, 90.00 degrees
Fractional positions:
Th: 0.250 0.250 0.144
Th: 0.750 0.750 0.856
Nb: 0.250 0.750 0.500
Nb: 0.750 0.250 0.500
Ga: 0.250 0.250 0.733
Ga: 0.750 0.750 0.267

## Properties
Its crystal system is tetragonal. The spin magnetization comes out at 0.0 Bohr magnetons per cell.

The structure with the greatest stability is two.

one.
First-principles (GGA-PBE) data for crystalline ThNbGa2 at its relaxed geometry, as listed in Alexandria.

Cell lengths 5.860, 5.860, 5.860 Å; angles 44.29, 44.29, 44.29 degrees
Fractional positions:
Th: 0.000 0.000 0.000
Nb: 0.500 0.500 0.500
Ga: 0.223 0.223 0.223
Ga: 0.777 0.777 0.777

## Properties
Its crystal system is trigonal. The spin magnetization comes out at 0.0 Bohr magnetons per cell.

two.
First-principles (GGA-PBE) data for crystalline ThNbGa2 at its relaxed geometry, as listed in Alexandria.

Cell lengths 3.585, 3.585, 6.418 Å; angles 90.00, 90.00, 90.00 degrees
Fractional positions:
Th: 0.000 0.000 0.000
Nb: 0.000 0.000 0.500
Ga: 0.500 0.500 0.302
Ga: 0.500 0.500 0.698

## Properties
Its crystal system is tetragonal. The spin magnetization comes out at 0.0 Bohr magnetons per cell.

The structure with the greatest stability is two.

one.
First-principles (GGA-PBE) data for crystalline TiNb2Ga2 at its relaxed geometry, as listed in Alexandria.

Cell lengths 6.906, 6.906, 3.539 Å; angles 90.00, 90.00, 90.00 degrees
Fractional positions:
Ti: 0.000 0.000 0.000
Ti: 0.500 0.500 0.000
Nb: 0.174 0.326 0.500
Nb: 0.326 0.826 0.500
Nb: 0.674 0.174 0.500
Nb: 0.826 0.674 0.500
Ga: 0.128 0.628 0.000
Ga: 0.372 0.128 0.000
Ga: 0.628 0.872 0.000
Ga: 0.872 0.372 0.000

## Properties
Its crystal system is tetragonal. The spin magnetization comes out at 0.0 Bohr magnetons per cell.

two.
First-principles (GGA-PBE) data for crystalline TiNb2Ga2 at its relaxed geometry, as listed in Alexandria.

Cell lengths 7.666, 7.666, 7.666 Å; angles 153.19, 153.19, 38.28 degrees
Fractional positions:
Ti: 0.000 0.000 0.000
Nb: 0.404 0.404 0.000
Nb: 0.596 0.596 0.000
Ga: 0.250 0.750 0.500
Ga: 0.750 0.250 0.500

## Properties
Its crystal system is tetragonal. The spin magnetization comes out at 0.0 Bohr magnetons per cell.

The structure with the greatest stability is one.

one.
First-principles (GGA-PBE) data for crystalline Ti2NbGa2 at its relaxed geometry, as listed in Alexandria.

Cell lengths 7.130, 7.130, 5.494 Å; angles 90.00, 90.00, 143.86 degrees
Fractional positions:
Ti: 0.009 0.991 0.500
Ti: 0.192 0.808 0.006
Ti: 0.808 0.192 0.506
Ti: 0.991 0.009 0.000
Nb: 0.397 0.603 0.745
Nb: 0.603 0.397 0.245
Ga: 0.204 0.796 0.496
Ga: 0.398 0.602 0.251
Ga: 0.602 0.398 0.751
Ga: 0.796 0.204 0.996

## Properties
Its crystal system is orthorhombic. The spin magnetization comes out at 0.0 Bohr magnetons per cell.

two.
First-principles (GGA-PBE) data for crystalline Ti2NbGa2 at its relaxed geometry, as listed in Alexandria.

Cell lengths 4.403, 4.403, 5.442 Å; angles 90.00, 90.00, 120.00 degrees
Fractional positions:
Ti: 0.000 0.000 0.000
Ti: 0.333 0.667 0.500
Nb: 0.000 0.000 0.500
Ga: 0.667 0.333 0.247
Ga: 0.667 0.333 0.753

## Properties
Its crystal system is hexagonal. The spin magnetization comes out at 0.0 Bohr magnetons per cell.

three.
First-principles (GGA-PBE) data for crystalline Ti2NbGa2 at its relaxed geometry, as listed in Alexandria.

Cell lengths 7.666, 7.666, 2.836 Å; angles 90.00, 90.00, 90.00 degrees
Fractional positions:
Ti: 0.122 0.378 0.000
Ti: 0.378 0.878 0.000
Ti: 0.622 0.122 0.000
Ti: 0.878 0.622 0.000
Nb: 0.000 0.000 0.000
Nb: 0.500 0.500 0.000
Ga: 0.176 0.676 0.500
Ga: 0.324 0.176 0.500
Ga: 0.676 0.824 0.500
Ga: 0.824 0.324 0.500

## Properties
Its crystal system is tetragonal. The spin magnetization comes out at 0.0 Bohr magnetons per cell.

four.
First-principles (GGA-PBE) data for crystalline Ti2NbGa2 at its relaxed geometry, as listed in Alexandria.

Cell lengths 7.069, 7.069, 3.315 Å; angles 90.00, 90.00, 90.00 degrees
Fractional positions:
Ti: 0.177 0.323 0.000
Ti: 0.323 0.823 0.000
Ti: 0.677 0.177 0.000
Ti: 0.823 0.677 0.000
Nb: 0.000 0.000 0.500
Nb: 0.500 0.500 0.500
Ga: 0.125 0.625 0.500
Ga: 0.375 0.125 0.500
Ga: 0.625 0.875 0.500
Ga: 0.875 0.375 0.500

## Properties
Its crystal system is tetragonal. The spin magnetization comes out at 0.0 Bohr magnetons per cell.

The structure with the greatest stability is four.

one.
First-principles (GGA-PBE) data for crystalline Ti5NbGa3 at its relaxed geometry, as listed in Alexandria.

Cell lengths 7.882, 7.882, 5.450 Å; angles 90.00, 90.00, 120.00 degrees
Fractional positions:
Ti: 0.000 0.332 0.250
Ti: 0.000 0.668 0.750
Ti: 0.332 0.000 0.250
Ti: 0.332 0.332 0.750
Ti: 0.333 0.667 0.000
Ti: 0.333 0.667 0.500
Ti: 0.667 0.333 0.000
Ti: 0.667 0.333 0.500
Ti: 0.668 0.000 0.750
Ti: 0.668 0.668 0.250
Nb: 0.000 0.000 0.000
Nb: 0.000 0.000 0.500
Ga: 0.000 0.336 0.750
Ga: 0.000 0.664 0.250
Ga: 0.336 0.000 0.750
Ga: 0.336 0.336 0.250
Ga: 0.664 0.000 0.250
Ga: 0.664 0.664 0.750

## Properties
Its crystal system is hexagonal. The spin magnetization comes out at 0.0 Bohr magnetons per cell.

two.
First-principles (GGA-PBE) data for crystalline Ti5NbGa3 at its relaxed geometry, as listed in Alexandria.

Cell lengths 8.360, 8.360, 8.360 Å; angles 132.82, 132.82, 68.93 degrees
Fractional positions:
Ti: 0.000 0.000 0.000
Ti: 0.076 0.576 0.925
Ti: 0.151 0.076 0.500
Ti: 0.349 0.849 0.925
Ti: 0.424 0.349 0.500
Ti: 0.500 0.500 0.000
Ti: 0.576 0.651 0.500
Ti: 0.651 0.151 0.075
Ti: 0.849 0.924 0.500
Ti: 0.924 0.424 0.075
Nb: 0.250 0.750 0.500
Nb: 0.750 0.250 0.500
Ga: 0.120 0.380 0.500
Ga: 0.250 0.250 0.000
Ga: 0.380 0.880 0.259
Ga: 0.620 0.120 0.741
Ga: 0.750 0.750 0.000
Ga: 0.880 0.620 0.500

## Properties
Its crystal system is tetragonal. The spin magnetization comes out at 0.0 Bohr magnetons per cell.

The structure with the greatest stability is one.

one.
First-principles (GGA-PBE) data for crystalline Ti3NbGa2 at its relaxed geometry, as listed in Alexandria.

Cell lengths 3.287, 3.287, 9.167 Å; angles 90.00, 90.00, 90.00 degrees
Fractional positions:
Ti: 0.000 0.000 0.000
Ti: 0.000 0.000 0.331
Ti: 0.000 0.000 0.669
Nb: 0.500 0.500 0.500
Ga: 0.500 0.500 0.171
Ga: 0.500 0.500 0.829

## Properties
Its crystal system is tetragonal. The spin magnetization comes out at 0.0 Bohr magnetons per cell.

two.
First-principles (GGA-PBE) data for crystalline Ti3NbGa2 at its relaxed geometry, as listed in Alexandria.

Cell lengths 3.504, 8.347, 6.931 Å; angles 90.00, 90.00, 90.00 degrees
Fractional positions:
Ti: 0.000 0.085 0.000
Ti: 0.000 0.332 0.425
Ti: 0.000 0.668 0.925
Ti: 0.000 0.915 0.500
Ti: 0.500 0.168 0.674
Ti: 0.500 0.832 0.174
Nb: 0.500 0.421 0.106
Nb: 0.500 0.579 0.606
Ga: 0.000 0.373 0.809
Ga: 0.000 0.627 0.309
Ga: 0.500 0.121 0.295
Ga: 0.500 0.879 0.795

## Properties
Its crystal system is orthorhombic. The spin magnetization comes out at 0.0 Bohr magnetons per cell.

The structure with the greatest stability is one.

one.
First-principles (GGA-PBE) data for crystalline Nb2TlGa2 at its relaxed geometry, as listed in Alexandria.

Cell lengths 7.040, 7.040, 3.663 Å; angles 90.00, 90.00, 90.00 degrees
Fractional positions:
Nb: 0.173 0.327 0.000
Nb: 0.327 0.827 0.000
Nb: 0.673 0.173 0.000
Nb: 0.827 0.673 0.000
Tl: 0.000 0.000 0.500
Tl: 0.500 0.500 0.500
Ga: 0.124 0.624 0.500
Ga: 0.376 0.124 0.500
Ga: 0.624 0.876 0.500
Ga: 0.876 0.376 0.500

## Properties
Its crystal system is tetragonal. The spin magnetization comes out at 0.0 Bohr magnetons per cell.

two.
First-principles (GGA-PBE) data for crystalline Nb2TlGa2 at its relaxed geometry, as listed in Alexandria.

Cell lengths 7.513, 7.513, 3.438 Å; angles 90.00, 90.00, 90.00 degrees
Fractional positions:
Nb: 0.125 0.375 0.000
Nb: 0.375 0.875 0.000
Nb: 0.625 0.125 0.000
Nb: 0.875 0.625 0.000
Tl: 0.000 0.000 0.000
Tl: 0.500 0.500 0.000
Ga: 0.173 0.673 0.500
Ga: 0.327 0.173 0.500
Ga: 0.673 0.827 0.500
Ga: 0.827 0.327 0.500

## Properties
Its crystal system is tetragonal. The spin magnetization comes out at 0.0 Bohr magnetons per cell.

The structure with the greatest stability is two.

one.
First-principles (GGA-PBE) data for crystalline Nb2TlGa at its relaxed geometry, as listed in Alexandria.

Cell lengths 4.726, 4.726, 4.726 Å; angles 60.00, 60.00, 60.00 degrees
Fractional positions:
Nb: 0.250 0.250 0.250
Nb: 0.750 0.750 0.750
Tl: 0.000 0.000 0.000
Ga: 0.500 0.500 0.500

## Properties
Its crystal system is cubic. The spin magnetization comes out at 0.0 Bohr magnetons per cell.

two.
First-principles (GGA-PBE) data for crystalline Nb2TlGa at its relaxed geometry, as listed in Alexandria.

Cell lengths 10.543, 10.543, 10.543 Å; angles 157.96, 157.96, 31.37 degrees
Fractional positions:
Nb: 0.115 0.625 0.990
Nb: 0.375 0.365 0.490
Nb: 0.635 0.125 0.010
Nb: 0.875 0.885 0.510
Tl: 0.250 0.750 0.500
Tl: 0.500 0.500 0.000
Ga: 0.000 0.000 0.000
Ga: 0.750 0.250 0.500

## Properties
Its crystal system is tetragonal. The spin magnetization comes out at 0.0 Bohr magnetons per cell.

The structure with the greatest stability is one.